i.
KTi3Tl: optimized geometry, GGA-PBE.

The space group is Pm-3m (No. 221) and the conventional cell measures 4.650, 4.650 and 4.650 Å, with angles of 90.00, 90.00 and 90.00 degrees. The inequivalent atoms are K at (0.000, 0.000, 0.000), Ti at (0.000, 0.000, 0.500) and Tl at (0.500, 0.500, 0.500).

Its calculated density is 6.39 Mg/m³. As for the crystal system: cubic. The calculation puts the calculated volume at 20.11 Å³ per atom. The magnetic moment comes out at 2.28 μB per cell. The calculation puts the density of states at the Fermi level at 4.1 states/eV/f.u.


ii.
KTi3Tl: optimized geometry, GGA-PBE.

The space group is Pm-3m (No. 221) and the conventional cell measures 5.383, 5.383 and 5.383 Å, with angles of 90.00, 90.00 and 90.00 degrees. The inequivalent atoms are K at (0.000, 0.000, 0.000), Ti at (0.000, 0.500, 0.500) and Tl at (0.500, 0.500, 0.500).

Its calculated density is 4.12 Mg/m³. As for the crystal system: cubic. The calculation puts the calculated volume at 31.20 Å³ per atom. The magnetic moment comes out at 6.00 μB per cell. The calculation puts the density of states at the Fermi level at 11.6 states/eV/f.u.


ii takes first place; second place is 577 meV/atom up.


i.
KTiTl3: optimized geometry, GGA-PBE.

The space group is Pm-3m (No. 221) and the conventional cell measures 5.771, 5.771 and 5.771 Å, with angles of 90.00, 90.00 and 90.00 degrees. The inequivalent atoms are K at (0.000, 0.000, 0.000), Ti at (0.500, 0.500, 0.500) and Tl at (0.000, 0.000, 0.500).

Its calculated density is 6.05 Mg/m³. As for the crystal system: cubic. The calculation puts the calculated volume at 38.45 Å³ per atom. The magnetic moment comes out at 0.00 μB per cell. The calculation puts the density of states at the Fermi level at 8.7 states/eV/f.u.


ii.
KTiTl3: optimized geometry, GGA-PBE.

The space group is Pm-3m (No. 221) and the conventional cell measures 5.530, 5.530 and 5.530 Å, with angles of 90.00, 90.00 and 90.00 degrees. The inequivalent atoms are K at (0.000, 0.000, 0.000), Ti at (0.500, 0.500, 0.500) and Tl at (0.000, 0.500, 0.500).

Its calculated density is 6.87 Mg/m³. As for the crystal system: cubic. The calculation puts the calculated volume at 33.82 Å³ per atom. The magnetic moment comes out at 1.36 μB per cell. The calculation puts the density of states at the Fermi level at 5.1 states/eV/f.u.


ii takes first place; second place is 1147 meV/atom up.


i.
KTi2Tl: optimized geometry, GGA-PBE.

The space group is I-42d (No. 122) and the conventional cell measures 4.669, 4.669 and 21.667 Å, with angles of 90.00, 90.00 and 90.00 degrees. The inequivalent atoms are K at (0.000, 0.000, 0.000), Ti at (0.052, 0.250, 0.625) and Tl at (0.000, 0.000, 0.500).

Its calculated density is 4.77 Mg/m³. As for the crystal system: tetragonal. The calculation puts the calculated volume at 29.52 Å³ per atom. The magnetic moment comes out at 0.00 μB per cell. The calculation puts the density of states at the Fermi level at 2.1 states/eV/f.u.


ii.
KTi2Tl: optimized geometry, GGA-PBE.

The space group is Fm-3m (No. 225) and the conventional cell measures 7.108, 7.108 and 7.108 Å, with angles of 90.00, 90.00 and 90.00 degrees. The inequivalent atoms are K at (0.000, 0.000, 0.000), Ti at (0.250, 0.250, 0.250) and Tl at (0.000, 0.000, 0.500).

Its calculated density is 6.27 Mg/m³. As for the crystal system: cubic. The calculation puts the calculated volume at 22.44 Å³ per atom. The magnetic moment comes out at 7.13 μB per cell. The calculation puts the density of states at the Fermi level at 5.1 states/eV/f.u.


ii takes first place; second place is 10 meV/atom up.


i.
KTi2V: optimized geometry, GGA-PBE.

The space group is Fm-3m (No. 225) and the conventional cell measures 6.923, 6.923 and 6.923 Å, with angles of 90.00, 90.00 and 90.00 degrees. The inequivalent atoms are K at (0.000, 0.000, 0.000), Ti at (0.250, 0.250, 0.250) and V at (0.000, 0.000, 0.500).

Its calculated density is 3.72 Mg/m³. As for the crystal system: cubic. The calculation puts the calculated volume at 20.74 Å³ per atom. The magnetic moment comes out at 14.69 μB per cell. The calculation puts the density of states at the Fermi level at 3.2 states/eV/f.u.


ii.
KTi2V: optimized geometry, GGA-PBE.

The space group is I4_1/amd (No. 141, origin choice 2) and the conventional cell measures 7.125, 7.125 and 10.105 Å, with angles of 90.00, 90.00 and 90.00 degrees. The inequivalent atoms are K at (0.000, 0.250, 0.375), Ti at (0.000, 0.000, 0.000) and V at (0.000, 0.250, 0.875).

Its calculated density is 2.41 Mg/m³. As for the crystal system: tetragonal. The calculation puts the calculated volume at 32.06 Å³ per atom. The magnetic moment comes out at 0.00 μB per cell. The calculation puts the density of states at the Fermi level at 1.1 states/eV/f.u.


i takes first place; second place is 49 meV/atom up.


i.
KTiW2: optimized geometry, GGA-PBE.

The space group is Fm-3m (No. 225) and the conventional cell measures 6.674, 6.674 and 6.674 Å, with angles of 90.00, 90.00 and 90.00 degrees. The inequivalent atoms are K at (0.000, 0.000, 0.000), Ti at (0.000, 0.000, 0.500) and W at (0.250, 0.250, 0.250).

Its calculated density is 10.16 Mg/m³. As for the crystal system: cubic. The calculation puts the calculated volume at 18.58 Å³ per atom. The magnetic moment comes out at 0.00 μB per cell. The calculation puts the density of states at the Fermi level at 7.3 states/eV/f.u.


ii.
KTiW2: optimized geometry, GGA-PBE.

The space group is I-42d (No. 122) and the conventional cell measures 4.656, 4.656 and 18.833 Å, with angles of 90.00, 90.00 and 90.00 degrees. The inequivalent atoms are K at (0.000, 0.000, 0.000), Ti at (0.000, 0.000, 0.500) and W at (0.093, 0.750, 0.625).

Its calculated density is 7.40 Mg/m³. As for the crystal system: tetragonal. The calculation puts the calculated volume at 25.51 Å³ per atom. The magnetic moment comes out at 0.00 μB per cell. The calculation puts the density of states at the Fermi level at 4.2 states/eV/f.u.


i takes first place; second place is 35 meV/atom up.


i.
KTi2W: optimized geometry, GGA-PBE.

The space group is I4_1/amd (No. 141, origin choice 2) and the conventional cell measures 6.666, 6.666 and 13.165 Å, with angles of 90.00, 90.00 and 90.00 degrees. The inequivalent atoms are K at (0.000, 0.250, 0.375), Ti at (0.000, 0.000, 0.000) and W at (0.000, 0.250, 0.875).

Its calculated density is 3.62 Mg/m³. As for the crystal system: tetragonal. The calculation puts the calculated volume at 36.56 Å³ per atom. The magnetic moment comes out at 0.00 μB per cell. The calculation puts the density of states at the Fermi level at 4.7 states/eV/f.u.


ii.
KTi2W: optimized geometry, GGA-PBE.

The space group is Fm-3m (No. 225) and the conventional cell measures 6.751, 6.751 and 6.751 Å, with angles of 90.00, 90.00 and 90.00 degrees. The inequivalent atoms are K at (0.000, 0.000, 0.000), Ti at (0.250, 0.250, 0.250) and W at (0.000, 0.000, 0.500).

Its calculated density is 6.88 Mg/m³. As for the crystal system: cubic. The calculation puts the calculated volume at 19.23 Å³ per atom. The magnetic moment comes out at 0.00 μB per cell. The calculation puts the density of states at the Fermi level at 6.9 states/eV/f.u.


ii takes first place; second place is 366 meV/atom up.


i.
K2YTi: optimized geometry, GGA-PBE.

The space group is I-42d (No. 122) and the conventional cell measures 10.291, 10.291 and 6.393 Å, with angles of 90.00, 90.00 and 90.00 degrees. The inequivalent atoms are K at (0.219, 0.250, 0.125), Y at (0.000, 0.000, 0.500) and Ti at (0.000, 0.000, 0.000).

Its calculated density is 2.11 Mg/m³. As for the crystal system: tetragonal. The calculation puts the calculated volume at 42.32 Å³ per atom. The magnetic moment comes out at 17.69 μB per cell. The calculation puts the density of states at the Fermi level at 5.2 states/eV/f.u.


ii.
K2YTi: optimized geometry, GGA-PBE.

The space group is Fm-3m (No. 225) and the conventional cell measures 8.584, 8.584 and 8.584 Å, with angles of 90.00, 90.00 and 90.00 degrees. The inequivalent atoms are K at (0.250, 0.250, 0.250), Y at (0.000, 0.000, 0.000) and Ti at (0.000, 0.000, 0.500).

Its calculated density is 2.26 Mg/m³. As for the crystal system: cubic. The calculation puts the calculated volume at 39.53 Å³ per atom. The magnetic moment comes out at 14.45 μB per cell. The calculation puts the density of states at the Fermi level at 12.9 states/eV/f.u.


i takes first place; second place is 50 meV/atom up.


i.
K3YTi: optimized geometry, GGA-PBE.

The space group is Pm-3m (No. 221) and the conventional cell measures 6.456, 6.456 and 6.456 Å, with angles of 90.00, 90.00 and 90.00 degrees. The inequivalent atoms are K at (0.000, 0.000, 0.500), Y at (0.500, 0.500, 0.500) and Ti at (0.000, 0.000, 0.000).

Its calculated density is 1.57 Mg/m³. As for the crystal system: cubic. The calculation puts the calculated volume at 53.81 Å³ per atom. The magnetic moment comes out at 2.92 μB per cell. The calculation puts the density of states at the Fermi level at 7.2 states/eV/f.u.


ii.
K3YTi: optimized geometry, GGA-PBE.

The space group is Pm-3m (No. 221) and the conventional cell measures 6.753, 6.753 and 6.753 Å, with angles of 90.00, 90.00 and 90.00 degrees. The inequivalent atoms are K at (0.000, 0.000, 0.500), Y at (0.000, 0.000, 0.000) and Ti at (0.500, 0.500, 0.500).

Its calculated density is 1.37 Mg/m³. As for the crystal system: cubic. The calculation puts the calculated volume at 61.60 Å³ per atom. The magnetic moment comes out at 2.86 μB per cell. The calculation puts the density of states at the Fermi level at 39.3 states/eV/f.u.


i takes first place; second place is 450 meV/atom up.


i.
KTiZn2: optimized geometry, GGA-PBE.

The space group is Fm-3m (No. 225) and the conventional cell measures 7.040, 7.040 and 7.040 Å, with angles of 90.00, 90.00 and 90.00 degrees. The inequivalent atoms are K at (0.000, 0.000, 0.000), Ti at (0.000, 0.000, 0.500) and Zn at (0.250, 0.250, 0.250).

Its calculated density is 4.15 Mg/m³. As for the crystal system: cubic. The calculation puts the calculated volume at 21.81 Å³ per atom. The magnetic moment comes out at 0.00 μB per cell. The calculation puts the density of states at the Fermi level at 4.1 states/eV/f.u.


ii.
KTiZn2: optimized geometry, GGA-PBE.

The space group is I-42d (No. 122) and the conventional cell measures 7.894, 7.894 and 6.880 Å, with angles of 90.00, 90.00 and 90.00 degrees. The inequivalent atoms are K at (0.000, 0.000, 0.000), Ti at (0.000, 0.000, 0.500) and Zn at (0.192, 0.250, 0.625).

Its calculated density is 3.37 Mg/m³. As for the crystal system: tetragonal. The calculation puts the calculated volume at 26.79 Å³ per atom. The magnetic moment comes out at 8.35 μB per cell. The calculation puts the density of states at the Fermi level at 4.2 states/eV/f.u.


i takes first place; second place is 66 meV/atom up.


i.
K3ZrTi: optimized geometry, GGA-PBE.

The space group is Pm-3m (No. 221) and the conventional cell measures 6.635, 6.635 and 6.635 Å, with angles of 90.00, 90.00 and 90.00 degrees. The inequivalent atoms are K at (0.000, 0.000, 0.500), Zr at (0.000, 0.000, 0.000) and Ti at (0.500, 0.500, 0.500).

Its calculated density is 1.46 Mg/m³. As for the crystal system: cubic. The calculation puts the calculated volume at 58.43 Å³ per atom. The magnetic moment comes out at 1.62 μB per cell. The calculation puts the density of states at the Fermi level at 16.5 states/eV/f.u.


ii.
K3ZrTi: optimized geometry, GGA-PBE.

The space group is Pm-3m (No. 221) and the conventional cell measures 6.414, 6.414 and 6.414 Å, with angles of 90.00, 90.00 and 90.00 degrees. The inequivalent atoms are K at (0.000, 0.000, 0.500), Zr at (0.500, 0.500, 0.500) and Ti at (0.000, 0.000, 0.000).

Its calculated density is 1.61 Mg/m³. As for the crystal system: cubic. The calculation puts the calculated volume at 52.78 Å³ per atom. The magnetic moment comes out at 4.02 μB per cell. The calculation puts the density of states at the Fermi level at 17.0 states/eV/f.u.


i takes first place; second place is 34 meV/atom up.


i.
KZr3Ti: optimized geometry, GGA-PBE.

The space group is Pm-3m (No. 221) and the conventional cell measures 5.210, 5.210 and 5.210 Å, with angles of 90.00, 90.00 and 90.00 degrees. The inequivalent atoms are K at (0.000, 0.000, 0.000), Zr at (0.000, 0.500, 0.500) and Ti at (0.500, 0.500, 0.500).

Its calculated density is 4.23 Mg/m³. As for the crystal system: cubic. The calculation puts the calculated volume at 28.29 Å³ per atom. The magnetic moment comes out at 0.00 μB per cell. The calculation puts the density of states at the Fermi level at 12.4 states/eV/f.u.


ii.
KZr3Ti: optimized geometry, GGA-PBE.

The space group is Pm-3m (No. 221) and the conventional cell measures 4.886, 4.886 and 4.886 Å, with angles of 90.00, 90.00 and 90.00 degrees. The inequivalent atoms are K at (0.000, 0.000, 0.000), Zr at (0.000, 0.000, 0.500) and Ti at (0.500, 0.500, 0.500).

Its calculated density is 5.14 Mg/m³. As for the crystal system: cubic. The calculation puts the calculated volume at 23.32 Å³ per atom. The magnetic moment comes out at 1.65 μB per cell. The calculation puts the density of states at the Fermi level at 6.9 states/eV/f.u.


i takes first place; second place is 968 meV/atom up.


i.
KTl5: optimized geometry, GGA-PBE.

The space group is P-62m (No. 189) and the conventional cell measures 6.1646, 6.1646 and 5.8321 Å, with angles of 90.00, 90.00 and 120.00 degrees. The inequivalent atoms are K at (0.0000, 0.0000, 0.0000), Tl at (0.0000, 0.6419, 0.5000) and Tl at (0.3333, 0.6667, 0.0000).

Its calculated density is 9.18 Mg/m³. As for the crystal system: hexagonal. The calculation puts the calculated volume at 31.99 Å³ per atom. The magnetic moment comes out at 0.00 μB per cell. The calculation puts the density of states at the Fermi level at 1.4 states/eV/f.u.


ii.
KTl5: optimized geometry, GGA-PBE.

The space group is Amm2 (No. 38) and the conventional cell measures 5.622, 3.504 and 19.740 Å, with angles of 90.00, 90.00 and 90.00 degrees. The inequivalent atoms are K at (0.000, 0.000, 0.000), Tl at (0.000, 0.000, 0.327), Tl at (0.000, 0.000, 0.675), Tl at (0.500, 0.000, 0.237), Tl at (0.500, 0.000, 0.409) and Tl at (0.500, 0.000, 0.587).

Its calculated density is 9.06 Mg/m³. As for the crystal system: orthorhombic. The calculation puts the calculated volume at 32.41 Å³ per atom. The magnetic moment comes out at 0.00 μB per cell. The calculation puts the density of states at the Fermi level at 3.1 states/eV/f.u.


i takes first place; second place is 23 meV/atom up.